# 1
# AlTlCu2 (PBE, relaxed)
data_AlTlCu2
_space_group_name_H-M_alt 'I m m 2'
_space_group_IT_number 44
_cell_length_a 3.000
_cell_length_b 4.511
_cell_length_c 9.990
_cell_angle_alpha 90.00
_cell_angle_beta 90.00
_cell_angle_gamma 90.00
loop_
_space_group_symop_operation_xyz
'x,y,z'
'-x,-y,z'
'-x,y,z'
'x,-y,z'
'x+1/2,y+1/2,z+1/2'
'-x+1/2,-y+1/2,z+1/2'
'-x+1/2,y+1/2,z+1/2'
'x+1/2,-y+1/2,z+1/2'
loop_
_atom_site_label
_atom_site_type_symbol
_atom_site_fract_x
_atom_site_fract_y
_atom_site_fract_z
Al1 Al 0.000 0.000 0.000
Tl1 Tl 0.000 0.500 0.215
Cu1 Cu 0.000 0.000 0.448
Cu2 Cu 0.000 0.500 0.737
# * Fermi-level density of states: 0.276 states/eV per atom
# * polymorph energy (0 for the lowest one): 12.6 kJ per mole of atoms
# * calculated formation energy: 0.2364 eV per atom



# 2
# Ti2MnSe5 (PBE, relaxed)
data_Ti2MnSe5
_space_group_name_H-M_alt 'F m m m'
_space_group_IT_number 69
_space_group_name_Hall '-F 2 2'
_cell_length_a 4.716
_cell_length_b 12.239
_cell_length_c 13.184
_cell_angle_alpha 90.00
_cell_angle_beta 90.00
_cell_angle_gamma 90.00
loop_
_atom_site_label
_atom_site_type_symbol
_atom_site_fract_x
_atom_site_fract_y
_atom_site_fract_z
Ti1 Ti 0.000 0.000 0.189
Mn1 Mn 0.000 0.000 0.500
Se1 Se 0.000 0.000 0.000
Se2 Se 0.000 0.129 0.344
# * Fermi-level density of states: 0.403 states/eV per atom
# * raw formation energy: -676 meV per atom



# 3
# CaCe4Pt4 (PBE, relaxed)
data_CaCe4Pt4
_space_group_name_H-M_alt 'P 42/n m c'
_space_group_IT_number 137
_cell_length_a 7.454
_cell_length_b 7.454
_cell_length_c 8.814
_cell_angle_alpha 90.00
_cell_angle_beta 90.00
_cell_angle_gamma 90.00
loop_
_space_group_symop_operation_xyz
'x,y,z'
'-x,-y,-z'
'-y+1/2,x,z+1/2'
'y+1/2,-x,-z+1/2'
'-x+1/2,-y+1/2,z'
'x+1/2,y+1/2,-z'
'y,-x+1/2,z+1/2'
'-y,x+1/2,-z+1/2'
'x+1/2,-y,-z'
'-x+1/2,y,z'
'-y,-x,-z+1/2'
'y,x,z+1/2'
'-x,y+1/2,-z'
'x,-y+1/2,z'
'y+1/2,x+1/2,-z+1/2'
'-y+1/2,-x+1/2,z+1/2'
loop_
_atom_site_label
_atom_site_type_symbol
_atom_site_fract_x
_atom_site_fract_y
_atom_site_fract_z
Ca1 Ca 0.250 0.750 0.250
Ce1 Ce 0.007 0.250 0.107
Pt1 Pt 0.027 0.250 0.443
# * Fermi-level density of states: 2.280 states/eV per atom
# * calculated formation energy: -0.8355 eV per atom



# 4
# BaYAlSe4 (PBE, relaxed)
data_BaYAlSe4
_space_group_name_H-M_alt 'P 1 21/m 1'
_space_group_IT_number 11
_cell_length_a 6.832
_cell_length_b 7.049
_cell_length_c 8.770
_cell_angle_alpha 90.00
_cell_angle_beta 107.45
_cell_angle_gamma 90.00
loop_
_space_group_symop_operation_xyz
'x,y,z'
'-x,-y,-z'
'-x,y+1/2,-z'
'x,-y+1/2,z'
loop_
_atom_site_label
_atom_site_type_symbol
_atom_site_fract_x
_atom_site_fract_y
_atom_site_fract_z
Ba1 Ba 0.247 0.250 0.060
Y1 Y 0.225 0.250 0.554
Al1 Al 0.233 0.750 0.326
Se1 Se 0.009 0.507 0.719
Se2 Se 0.429 0.750 0.144
Se3 Se 0.450 0.750 0.590
# * raw formation energy: -1584 meV per atom



no.,total moment (μB per cell),raw total energy (hartree per atom)
1,0.0,-0.123
2,18.7,-0.220
3,5.5,-0.234
4,0.0,-0.195